# 1
# TmNp2PdS4, relaxed, DFT PBE
data_TmNp2PdS4
_chemical_formula_sum 'Tm1 Np2 Pd1 S4'
_symmetry_space_group_name_H-M 'P 1'
_symmetry_Int_Tables_number 1
_cell_length_a 6.601
_cell_length_b 5.821
_cell_length_c 5.821
_cell_angle_alpha 71.25
_cell_angle_beta 55.46
_cell_angle_gamma 55.46
loop_
_symmetry_equiv_pos_as_xyz
'x,y,z'
loop_
_atom_site_label
_atom_site_fract_x
_atom_site_fract_y
_atom_site_fract_z
Tm1 0.000 0.000 0.000
Np1 0.000 0.500 0.500
Np2 0.500 0.500 0.500
Pd1 0.500 0.000 0.000
S1 0.073 0.416 0.000
S2 0.927 0.000 0.584
S3 0.510 0.000 0.416
S4 0.490 0.584 0.000
# Total moment   1.0765 μB per atom
# Density of states at the Fermi level   10.51 states/eV/f.u.
# Uncorrected formation energy   -1.181 eV per atom


# 2
# CePmPb2, relaxed, DFT PBE
data_CePmPb2
_chemical_formula_sum 'Ce1 Pm1 Pb2'
_symmetry_space_group_name_H-M 'P 1'
_symmetry_Int_Tables_number 1
_cell_length_a 4.551
_cell_length_b 5.116
_cell_length_c 5.116
_cell_angle_alpha 90.00
_cell_angle_beta 90.00
_cell_angle_gamma 90.00
loop_
_symmetry_equiv_pos_as_xyz
'x,y,z'
loop_
_atom_site_label
_atom_site_fract_x
_atom_site_fract_y
_atom_site_fract_z
Pb1 0.000 0.000 0.500
Pb2 0.000 0.500 0.000
Ce1 0.500 0.000 0.000
Pm1 0.500 0.500 0.500
# Total moment   0.4103 μB per atom
# Energy relative to the elements   -0.450 eV/atom
# Density of states at the Fermi level   7.96 states/eV/f.u.


# 3
# MnCoIr2, relaxed, DFT PBE
data_MnCoIr2
_chemical_formula_sum 'Mn1 Co1 Ir2'
_symmetry_space_group_name_H-M 'P 1'
_symmetry_Int_Tables_number 1
_cell_length_a 4.225
_cell_length_b 4.225
_cell_length_c 4.225
_cell_angle_alpha 60.00
_cell_angle_beta 60.00
_cell_angle_gamma 60.00
loop_
_symmetry_equiv_pos_as_xyz
'x,y,z'
loop_
_atom_site_label
_atom_site_fract_x
_atom_site_fract_y
_atom_site_fract_z
Ir1 0.250 0.250 0.250
Ir2 0.750 0.750 0.750
Co1 0.500 0.500 0.500
Mn1 0.000 0.000 0.000
# Total moment   1.3421 μB per atom
# Energy relative to the elements   0.123 eV/atom
# Density of states at the Fermi level   11.50 states/eV/f.u.


# 4
# Be2ZnCl, relaxed, DFT PBE
data_Be2ZnCl
_chemical_formula_sum 'Be2 Zn1 Cl1'
_symmetry_space_group_name_H-M 'P 1'
_symmetry_Int_Tables_number 1
_cell_length_a 2.839
_cell_length_b 2.839
_cell_length_c 6.828
_cell_angle_alpha 90.00
_cell_angle_beta 90.00
_cell_angle_gamma 90.00
loop_
_symmetry_equiv_pos_as_xyz
'x,y,z'
loop_
_atom_site_label
_atom_site_fract_x
_atom_site_fract_y
_atom_site_fract_z
Be1 0.000 0.000 0.973
Be2 0.000 0.000 0.527
Zn1 0.500 0.500 0.750
Cl1 0.500 0.500 0.250
# Total moment   0.0000 μB per atom
# Density of states at the Fermi level   0.29 states/eV/f.u.
# Excess energy over the best structure of this formula in the dataset   394 meV per atom
# Uncorrected formation energy   0.441 eV per atom


# 5
# LiInOs2, relaxed, DFT PBE
data_LiInOs2
_chemical_formula_sum 'Li1 In1 Os2'
_symmetry_space_group_name_H-M 'P 1'
_symmetry_Int_Tables_number 1
_cell_length_a 4.384
_cell_length_b 3.754
_cell_length_c 3.754
_cell_angle_alpha 90.00
_cell_angle_beta 90.00
_cell_angle_gamma 90.00
loop_
_symmetry_equiv_pos_as_xyz
'x,y,z'
loop_
_atom_site_label
_atom_site_fract_x
_atom_site_fract_y
_atom_site_fract_z
In1 0.500 0.500 0.000
Li1 0.500 0.000 0.500
Os1 0.000 0.000 0.000
Os2 0.000 0.500 0.500
# Total moment   0.0000 μB per atom
# Energy relative to the elements   0.448 eV/atom
# Density of states at the Fermi level   2.81 states/eV/f.u.


# 6
# TiIn, relaxed, DFT PBE
data_TiIn
_chemical_formula_sum 'Ti2 In2'
_symmetry_space_group_name_H-M 'P 1'
_symmetry_Int_Tables_number 1
_cell_length_a 3.136
_cell_length_b 4.306
_cell_length_c 6.122
_cell_angle_alpha 90.00
_cell_angle_beta 104.84
_cell_angle_gamma 90.00
loop_
_symmetry_equiv_pos_as_xyz
'x,y,z'
loop_
_atom_site_label
_atom_site_fract_x
_atom_site_fract_y
_atom_site_fract_z
Ti1 0.815 0.250 0.632
Ti2 0.185 0.750 0.368
In1 0.579 0.250 0.155
In2 0.421 0.750 0.845
# Total moment   0.0000 μB per atom
# Energy relative to the elements   -0.041 eV/atom
# Density of states at the Fermi level   1.93 states/eV/f.u.


# 7
# KCrSb2, relaxed, DFT PBE
data_KCrSb2
_chemical_formula_sum 'K1 Cr1 Sb2'
_symmetry_space_group_name_H-M 'P 1'
_symmetry_Int_Tables_number 1
_cell_length_a 5.406
_cell_length_b 5.406
_cell_length_c 5.406
_cell_angle_alpha 60.00
_cell_angle_beta 60.00
_cell_angle_gamma 60.00
loop_
_symmetry_equiv_pos_as_xyz
'x,y,z'
loop_
_atom_site_label
_atom_site_fract_x
_atom_site_fract_y
_atom_site_fract_z
Cr1 0.500 0.500 0.500
K1 0.750 0.750 0.750
Sb1 0.000 0.000 0.000
Sb2 0.250 0.250 0.250
# Total moment   1.1428 μB per atom
# Density of states at the Fermi level   2.53 states/eV/f.u.
# Excess energy over the best structure of this formula in the dataset   552 meV per atom
# Uncorrected formation energy   0.475 eV per atom


# 8
# K2In3SnPb4, relaxed, DFT PBE
data_K2In3SnPb4
_chemical_formula_sum 'K2 In3 Sn1 Pb4'
_symmetry_space_group_name_H-M 'P 1'
_symmetry_Int_Tables_number 1
_cell_length_a 5.099
_cell_length_b 5.099
_cell_length_c 13.608
_cell_angle_alpha 90.00
_cell_angle_beta 90.00
_cell_angle_gamma 90.00
loop_
_symmetry_equiv_pos_as_xyz
'x,y,z'
loop_
_atom_site_label
_atom_site_fract_x
_atom_site_fract_y
_atom_site_fract_z
K1 0.500 0.000 0.250
K2 0.000 0.500 0.750
In1 0.000 0.000 0.500
In2 0.500 0.000 0.864
In3 0.000 0.500 0.136
Sn1 0.500 0.500 0.500
Pb1 0.500 0.500 0.000
Pb2 0.000 0.000 0.000
Pb3 0.500 0.000 0.634
Pb4 0.000 0.500 0.366
# Total moment   0.0000 μB per atom
# Energy relative to the elements   -0.080 eV/atom
# Density of states at the Fermi level   5.62 states/eV/f.u.


# 9
# MnCrPdN, relaxed, DFT PBE
data_MnCrPdN
_chemical_formula_sum 'Mn2 Cr2 Pd2 N2'
_symmetry_space_group_name_H-M 'P 1'
_symmetry_Int_Tables_number 1
_cell_length_a 2.786
_cell_length_b 2.785
_cell_length_c 11.933
_cell_angle_alpha 90.00
_cell_angle_beta 90.00
_cell_angle_gamma 90.00
loop_
_symmetry_equiv_pos_as_xyz
'x,y,z'
loop_
_atom_site_label
_atom_site_fract_x
_atom_site_fract_y
_atom_site_fract_z
Mn1 0.000 0.000 0.344
Mn2 0.500 0.500 0.844
Cr1 0.000 0.000 0.687
Cr2 0.500 0.500 0.187
Pd1 0.000 0.000 0.039
Pd2 0.500 0.500 0.539
N1 0.000 0.000 0.842
N2 0.500 0.500 0.342
# Total moment   0.2587 μB per atom
# Density of states at the Fermi level   2.63 states/eV/f.u.
# Excess energy over the best structure of this formula in the dataset   113 meV per atom
# Uncorrected formation energy   -0.136 eV per atom


# 10
# BaIClO2, relaxed, DFT PBE
data_BaIClO2
_chemical_formula_sum 'Ba1 I1 Cl1 O2'
_symmetry_space_group_name_H-M 'P 1'
_symmetry_Int_Tables_number 1
_cell_length_a 4.514
_cell_length_b 4.514
_cell_length_c 7.987
_cell_angle_alpha 90.00
_cell_angle_beta 90.00
_cell_angle_gamma 90.00
loop_
_symmetry_equiv_pos_as_xyz
'x,y,z'
loop_
_atom_site_label
_atom_site_fract_x
_atom_site_fract_y
_atom_site_fract_z
I1 0.000 0.000 0.500
Ba1 0.000 0.000 0.000
O1 0.000 0.500 0.000
O2 0.500 0.000 0.000
Cl1 0.500 0.500 0.500
# Total moment   0.0929 μB per atom
# Density of states at the Fermi level   3.10 states/eV/f.u.
# Excess energy over the best structure of this formula in the dataset   0 meV per atom
# Uncorrected formation energy   -0.297 eV per atom


# 11
# CsAgBr2, relaxed, DFT PBE
data_CsAgBr2
_chemical_formula_sum 'Cs2 Ag2 Br4'
_symmetry_space_group_name_H-M 'P 1'
_symmetry_Int_Tables_number 1
_cell_length_a 4.644
_cell_length_b 7.953
_cell_length_c 9.499
_cell_angle_alpha 114.58
_cell_angle_beta 104.14
_cell_angle_gamma 90.00
loop_
_symmetry_equiv_pos_as_xyz
'x,y,z'
loop_
_atom_site_label
_atom_site_fract_x
_atom_site_fract_y
_atom_site_fract_z
Cs1 0.693 0.645 0.960
Cs2 0.968 0.915 0.511
Ag1 0.227 0.176 0.029
Ag2 0.434 0.383 0.442
Br1 0.331 0.011 0.237
Br2 0.022 0.473 0.618
Br3 0.639 0.086 0.853
Br4 0.330 0.549 0.234
# Total moment   0.0000 μB per atom
# Density of states at the Fermi level   0.00 states/eV/f.u.
# Excess energy over the best structure of this formula in the dataset   4 meV per atom
# Uncorrected formation energy   -1.074 eV per atom


# 12
# ScMnGe2, relaxed, DFT PBE
data_ScMnGe2
_chemical_formula_sum 'Sc1 Mn1 Ge2'
_symmetry_space_group_name_H-M 'P 1'
_symmetry_Int_Tables_number 1
_cell_length_a 4.431
_cell_length_b 4.431
_cell_length_c 4.431
_cell_angle_alpha 60.00
_cell_angle_beta 60.00
_cell_angle_gamma 60.00
loop_
_symmetry_equiv_pos_as_xyz
'x,y,z'
loop_
_atom_site_label
_atom_site_fract_x
_atom_site_fract_y
_atom_site_fract_z
Sc1 0.000 0.000 0.000
Ge1 0.250 0.250 0.250
Ge2 0.750 0.750 0.750
Mn1 0.500 0.500 0.500
# Total moment   0.0000 μB per atom
# Energy relative to the elements   -0.154 eV/atom
# Density of states at the Fermi level   2.05 states/eV/f.u.


Please write out number 12 again, unchanged.
# ScMnGe2, relaxed, DFT PBE
data_ScMnGe2
_chemical_formula_sum 'Sc1 Mn1 Ge2'
_symmetry_space_group_name_H-M 'P 1'
_symmetry_Int_Tables_number 1
_cell_length_a 4.431
_cell_length_b 4.431
_cell_length_c 4.431
_cell_angle_alpha 60.00
_cell_angle_beta 60.00
_cell_angle_gamma 60.00
loop_
_symmetry_equiv_pos_as_xyz
'x,y,z'
loop_
_atom_site_label
_atom_site_fract_x
_atom_site_fract_y
_atom_site_fract_z
Sc1 0.000 0.000 0.000
Ge1 0.250 0.250 0.250
Ge2 0.750 0.750 0.750
Mn1 0.500 0.500 0.500
# Total moment   0.0000 μB per atom
# Energy relative to the elements   -0.154 eV/atom
# Density of states at the Fermi level   2.05 states/eV/f.u.


Question: Look up the density of states at the Fermi level of the tenth one.
Answer: 3.10 states/eV/f.u.


Question: Which of these has the highest density of states at the Fermi level?
Answer: MnCoIr2